# BaTl2S | Alexandria via LeMat-Bulk | PBE-GGA | optimized geometry
data_BaTl2S
_chemical_formula_sum 'Ba4 Tl8 S4'
_cell_length_a 9.406
_cell_length_b 9.406
_cell_length_c 6.231
_cell_angle_alpha 90.00
_cell_angle_beta 90.00
_cell_angle_gamma 90.00
_space_group_name_H-M_alt 'I -4 2 d'
_space_group_IT_number 122
_space_group_name_Hall 'I -4 2bw'
loop_
_atom_site_label
_atom_site_type_symbol
_atom_site_fract_x
_atom_site_fract_y
_atom_site_fract_z
_atom_site_occupancy
Ba1 Ba 0.000 0.000 0.000 1
Tl1 Tl 0.185 0.250 0.625 1
S1 S 0.000 0.000 0.500 1
# Total DFT energy (no corrections) in eV per atom: -3.265
# E_form (uncorrected) in eV per atom: -0.569